## ReSnSe2 (GGA-PBE)

Data for a relaxed structure of ReSnSe2.

## Properties
M_tot = 0.0000 μB/atom
raw total energy = -5.502 eV/atom
uncorrected formation energy = 0.35 eV/atom
Fermi-level density of states = 0.842 states/eV/atom

a b c (Å): 6.555 6.555 6.914
angles (deg): 61.70 61.70 90.00
Fractional positions:
Re: 0.000 0.000 0.000
Re: 0.750 0.250 0.500
Sn: 0.500 0.500 0.000
Sn: 0.250 0.750 0.500
Se: 0.695 0.125 0.250
Se: 0.055 0.625 0.250
Se: 0.375 0.305 0.750
Se: 0.875 0.945 0.750